a:
A plane-wave DFT calculation with GGA-PBE was carried out for a relaxed RbNb3Zn crystal.

Unit cell a=4.784 b=4.784 c=4.784 alpha=90.00 beta=90.00 gamma=90.00
Space group Pm-3m (No. 221)
Inequivalent atoms, fractional coordinates:
Rb (0.000, 0.000, 0.000) (multiplicity 1)
Nb (0.000, 0.000, 0.500) (multiplicity 3)
Zn (0.500, 0.500, 0.500) (multiplicity 1)

The calculation puts the spin magnetization at 0.0 μB per formula unit. For the density of states at the Fermi level, the calculation gives 0.3149 states/eV per atom.

***

b:
A plane-wave DFT calculation with GGA-PBE was carried out for a relaxed RbNb3Zn crystal.

Unit cell a=4.996 b=4.996 c=4.996 alpha=90.00 beta=90.00 gamma=90.00
Space group Pm-3m (No. 221)
Inequivalent atoms, fractional coordinates:
Rb (0.000, 0.000, 0.000) (multiplicity 1)
Nb (0.000, 0.500, 0.500) (multiplicity 3)
Zn (0.500, 0.500, 0.500) (multiplicity 1)

The calculation puts the spin magnetization at 2.6 μB per formula unit. For the density of states at the Fermi level, the calculation gives 1.1545 states/eV per atom.

***

Ordering by calculated energy gives the sequence b, a, with the first entry being the most stable.

***

a:
A plane-wave DFT calculation with GGA-PBE was carried out for a relaxed RbZr2Nb crystal.

Unit cell a=7.819 b=7.819 c=12.264 alpha=90.00 beta=90.00 gamma=90.00
Space group I4_1/amd (No. 141, origin choice 2)
Inequivalent atoms, fractional coordinates:
Rb (0.000, 0.250, 0.375) (multiplicity 4)
Zr (0.000, 0.000, 0.000) (multiplicity 8)
Nb (0.000, 0.250, 0.875) (multiplicity 4)

The calculation puts the spin magnetization at 0.0 μB per formula unit. For the density of states at the Fermi level, the calculation gives 0.2461 states/eV per atom.

***

b:
A plane-wave DFT calculation with GGA-PBE was carried out for a relaxed RbZr2Nb crystal.

Unit cell a=7.291 b=7.291 c=7.291 alpha=90.00 beta=90.00 gamma=90.00
Space group Fm-3m (No. 225)
Inequivalent atoms, fractional coordinates:
Rb (0.000, 0.000, 0.000) (multiplicity 4)
Zr (0.250, 0.250, 0.250) (multiplicity 8)
Nb (0.000, 0.000, 0.500) (multiplicity 4)

The calculation puts the spin magnetization at 0.0 μB per formula unit. For the density of states at the Fermi level, the calculation gives 1.4294 states/eV per atom.

***

Ordering by calculated energy gives the sequence b, a, with the first entry being the most stable.

***

a:
A plane-wave DFT calculation with GGA-PBE was carried out for a relaxed RbZrNb2 crystal.

Unit cell a=4.731 b=4.731 c=20.553 alpha=90.00 beta=90.00 gamma=90.00
Space group I-42d (No. 122)
Inequivalent atoms, fractional coordinates:
Rb (0.000, 0.000, 0.000) (multiplicity 4)
Zr (0.000, 0.000, 0.500) (multiplicity 4)
Nb (0.112, 0.250, 0.625) (multiplicity 8)

The calculation puts the spin magnetization at 0.0 μB per formula unit. For the density of states at the Fermi level, the calculation gives 1.0371 states/eV per atom.

***

b:
A plane-wave DFT calculation with GGA-PBE was carried out for a relaxed RbZrNb2 crystal.

Unit cell a=7.168 b=7.168 c=7.168 alpha=90.00 beta=90.00 gamma=90.00
Space group Fm-3m (No. 225)
Inequivalent atoms, fractional coordinates:
Rb (0.000, 0.000, 0.000) (multiplicity 4)
Zr (0.000, 0.000, 0.500) (multiplicity 4)
Nb (0.250, 0.250, 0.250) (multiplicity 8)

The calculation puts the spin magnetization at 0.0 μB per formula unit. For the density of states at the Fermi level, the calculation gives 2.4095 states/eV per atom.

***

Ordering by calculated energy gives the sequence b, a, with the first entry being the most stable.

***

a:
A plane-wave DFT calculation with GGA-PBE was carried out for a relaxed Nb4Re crystal.

Unit cell a=4.820 b=4.820 c=4.820 alpha=90.00 beta=90.00 gamma=90.00
Space group Pm-3m (No. 221)
Inequivalent atoms, fractional coordinates:
Nb (0.000, 0.000, 0.000) (multiplicity 1)
Nb (0.000, 0.500, 0.500) (multiplicity 3)
Re (0.500, 0.500, 0.500) (multiplicity 1)

The calculation puts the spin magnetization at 0.0 μB per formula unit. For the density of states at the Fermi level, the calculation gives 1.5796 states/eV per atom.

***

b:
A plane-wave DFT calculation with GGA-PBE was carried out for a relaxed Nb4Re crystal.

Unit cell a=7.942 b=4.593 c=5.459 alpha=90.00 beta=119.17 gamma=90.00
Space group C2/m (No. 12)
Inequivalent atoms, fractional coordinates:
Nb (0.103, 0.000, 0.310) (multiplicity 4)
Nb (0.196, 0.500, 0.089) (multiplicity 4)
Re (0.000, 0.500, 0.500) (multiplicity 2)

The calculation puts the spin magnetization at 0.0 μB per formula unit. For the density of states at the Fermi level, the calculation gives 0.8900 states/eV per atom.

***

Ordering by calculated energy gives the sequence b, a, with the first entry being the most stable.

***

a:
A plane-wave DFT calculation with GGA-PBE was carried out for a relaxed NbReRh2 crystal.

Unit cell a=3.928 b=3.928 c=3.930 alpha=90.00 beta=90.00 gamma=90.00
Space group P4/mmm (No. 123)
Inequivalent atoms, fractional coordinates:
Nb (0.000, 0.000, 0.000) (multiplicity 1)
Re (0.500, 0.500, 0.000) (multiplicity 1)
Rh (0.000, 0.500, 0.500) (multiplicity 2)

The calculation puts the spin magnetization at 0.0 μB per formula unit. For the density of states at the Fermi level, the calculation gives 0.6157 states/eV per atom.

***

b:
A plane-wave DFT calculation with GGA-PBE was carried out for a relaxed NbReRh2 crystal.

Unit cell a=6.298 b=6.298 c=6.298 alpha=90.00 beta=90.00 gamma=90.00
Space group Fm-3m (No. 225)
Inequivalent atoms, fractional coordinates:
Nb (0.000, 0.000, 0.000) (multiplicity 4)
Re (0.000, 0.000, 0.500) (multiplicity 4)
Rh (0.250, 0.250, 0.250) (multiplicity 8)

The calculation puts the spin magnetization at 0.0 μB per formula unit. For the density of states at the Fermi level, the calculation gives 1.3804 states/eV per atom.

***

c:
A plane-wave DFT calculation with GGA-PBE was carried out for a relaxed NbReRh2 crystal.

Unit cell a=7.024 b=7.024 c=5.416 alpha=90.00 beta=90.00 gamma=90.00
Space group I-42d (No. 122)
Inequivalent atoms, fractional coordinates:
Nb (0.000, 0.000, 0.000) (multiplicity 4)
Re (0.000, 0.000, 0.500) (multiplicity 4)
Rh (0.235, 0.250, 0.625) (multiplicity 8)

The calculation puts the spin magnetization at 0.0 μB per formula unit. For the density of states at the Fermi level, the calculation gives 1.2703 states/eV per atom.

***

Ordering by calculated energy gives the sequence a, b, c, with the first entry being the most stable.

***

a:
A plane-wave DFT calculation with GGA-PBE was carried out for a relaxed NbRe3Rh crystal.

Unit cell a=4.625 b=4.625 c=4.625 alpha=90.00 beta=90.00 gamma=90.00
Space group Pm-3m (No. 221)
Inequivalent atoms, fractional coordinates:
Nb (0.000, 0.000, 0.000) (multiplicity 1)
Re (0.000, 0.500, 0.500) (multiplicity 3)
Rh (0.500, 0.500, 0.500) (multiplicity 1)

The calculation puts the spin magnetization at 0.0 μB per formula unit. For the density of states at the Fermi level, the calculation gives 1.9420 states/eV per atom.

***

b:
A plane-wave DFT calculation with GGA-PBE was carried out for a relaxed NbRe3Rh crystal.

Unit cell a=4.675 b=4.675 c=4.675 alpha=90.00 beta=90.00 gamma=90.00
Space group Pm-3m (No. 221)
Inequivalent atoms, fractional coordinates:
Nb (0.000, 0.000, 0.000) (multiplicity 1)
Re (0.000, 0.000, 0.500) (multiplicity 3)
Rh (0.500, 0.500, 0.500) (multiplicity 1)

The calculation puts the spin magnetization at 0.0 μB per formula unit. For the density of states at the Fermi level, the calculation gives 1.3770 states/eV per atom.

***

Ordering by calculated energy gives the sequence a, b, with the first entry being the most stable.